1.
A plane-wave DFT calculation with PBE was carried out for a relaxed Fe3Hg crystal.

```
data_Fe3Hg
_chemical_formula_sum 'Fe6 Hg2'
_cell_length_a 5.3591
_cell_length_b 5.3591
_cell_length_c 4.0658
_cell_angle_alpha 90.00
_cell_angle_beta 90.00
_cell_angle_gamma 76.75
_space_group_name_H-M_alt 'P 1'
_space_group_IT_number 1
_space_group_name_Hall 'P 1'
loop_
_atom_site_label
_atom_site_fract_x
_atom_site_fract_y
_atom_site_fract_z
Fe1 0.0908 0.9092 0.7500
Fe2 0.1318 0.3806 0.7500
Fe3 0.3806 0.1318 0.2500
Fe4 0.6194 0.8682 0.7500
Fe5 0.8682 0.6194 0.2500
Fe6 0.9092 0.0908 0.2500
Hg1 0.3491 0.6509 0.2500
Hg2 0.6509 0.3491 0.7500
```

## Properties
- SG: Cmcm, No. 63
- Calculated formation energy: 354 meV per atom
- Calculated volume: 113.7 Å³/cell
- Crystal system: orthorhombic
- E: -48.55 eV per cell

***

2.
A plane-wave DFT calculation with PBE was carried out for a relaxed FeHg2 crystal.

```
data_FeHg2
_chemical_formula_sum 'Fe2 Hg4'
_cell_length_a 13.3827
_cell_length_b 13.3827
_cell_length_c 13.3827
_cell_angle_alpha 167.25
_cell_angle_beta 167.25
_cell_angle_gamma 18.06
_space_group_name_H-M_alt 'P 1'
_space_group_IT_number 1
_space_group_name_Hall 'P 1'
loop_
_atom_site_label
_atom_site_fract_x
_atom_site_fract_y
_atom_site_fract_z
Fe1 0.3750 0.6250 0.7500
Fe2 0.6250 0.3750 0.2500
Hg1 0.0516 0.8016 0.2500
Hg2 0.1984 0.9484 0.2500
Hg3 0.8016 0.0516 0.7500
Hg4 0.9484 0.1984 0.7500
```

## Properties
- SG: I4_1/amd, No. 141
- Calculated formation energy: 404 meV per atom
- Calculated volume: 116.7 Å³/cell
- Crystal system: tetragonal
- E: -15.71 eV per cell

***

3.
A plane-wave DFT calculation with PBE was carried out for a relaxed FeHg2 crystal.

```
data_FeHg2
_chemical_formula_sum 'Fe3 Hg6'
_cell_length_a 7.9830
_cell_length_b 7.9830
_cell_length_c 3.1629
_cell_angle_alpha 90.00
_cell_angle_beta 90.00
_cell_angle_gamma 120.00
_space_group_name_H-M_alt 'P 1'
_space_group_IT_number 1
_space_group_name_Hall 'P 1'
loop_
_atom_site_label
_atom_site_fract_x
_atom_site_fract_y
_atom_site_fract_z
Fe1 0.0000 0.0000 0.0000
Fe2 0.3333 0.6667 0.5000
Fe3 0.6667 0.3333 0.5000
Hg1 0.0000 0.2801 0.5000
Hg2 0.0000 0.6072 0.0000
Hg3 0.2801 0.0000 0.5000
Hg4 0.3928 0.3928 0.0000
Hg5 0.6072 0.0000 0.0000
Hg6 0.7199 0.7199 0.5000
```

## Properties
- SG: P-62m, No. 189
- Calculated formation energy: 518 meV per atom
- Calculated volume: 174.6 Å³/cell
- Crystal system: hexagonal
- E: -22.54 eV per cell

***

4.
A plane-wave DFT calculation with PBE was carried out for a relaxed Fe3Hg crystal.

```
data_Fe3Hg
_chemical_formula_sum 'Fe3 Hg1'
_cell_length_a 2.8427
_cell_length_b 4.2647
_cell_length_c 4.7733
_cell_angle_alpha 90.00
_cell_angle_beta 90.00
_cell_angle_gamma 90.00
_space_group_name_H-M_alt 'P 1'
_space_group_IT_number 1
_space_group_name_Hall 'P 1'
loop_
_atom_site_label
_atom_site_fract_x
_atom_site_fract_y
_atom_site_fract_z
Fe1 0.0000 0.0000 0.0000
Fe2 0.0000 0.5000 0.2984
Fe3 0.5000 0.0000 0.4089
Hg1 0.5000 0.5000 0.7884
```

## Properties
- SG: Pmm2, No. 25
- Calculated formation energy: 384 meV per atom
- Calculated volume: 57.9 Å³/cell
- Crystal system: orthorhombic
- E: -24.15 eV per cell

***

5.
A plane-wave DFT calculation with PBE was carried out for a relaxed FeHg2 crystal.

```
data_FeHg2
_chemical_formula_sum 'Fe2 Hg4'
_cell_length_a 5.6543
_cell_length_b 5.6543
_cell_length_c 5.6543
_cell_angle_alpha 55.40
_cell_angle_beta 55.40
_cell_angle_gamma 55.40
_space_group_name_H-M_alt 'P 1'
_space_group_IT_number 1
_space_group_name_Hall 'P 1'
loop_
_atom_site_label
_atom_site_fract_x
_atom_site_fract_y
_atom_site_fract_z
Fe1 0.1673 0.1673 0.1673
Fe2 0.8327 0.8327 0.8327
Hg1 0.0000 0.3240 0.6760
Hg2 0.3240 0.6760 0.0000
Hg3 0.5000 0.5000 0.5000
Hg4 0.6760 0.0000 0.3240
```

## Properties
- SG: R32, No. 155
- Calculated formation energy: 500 meV per atom
- Calculated volume: 114.2 Å³/cell
- Crystal system: trigonal
- E: -15.13 eV per cell

***

6.
A plane-wave DFT calculation with PBE was carried out for a relaxed Fe2Hg crystal.

```
data_Fe2Hg
_chemical_formula_sum 'Fe4 Hg2'
_cell_length_a 4.3984
_cell_length_b 7.2434
_cell_length_c 7.2434
_cell_angle_alpha 23.43
_cell_angle_beta 90.00
_cell_angle_gamma 90.00
_space_group_name_H-M_alt 'P 1'
_space_group_IT_number 1
_space_group_name_Hall 'P 1'
loop_
_atom_site_label
_atom_site_fract_x
_atom_site_fract_y
_atom_site_fract_z
Fe1 0.0000 0.0000 0.0000
Fe2 0.0000 0.3070 0.3070
Fe3 0.0000 0.6392 0.6392
Fe4 0.5000 0.1008 0.1008
Hg1 0.5000 0.4389 0.4389
Hg2 0.5000 0.7587 0.7587
```

## Properties
- SG: Amm2, No. 38
- Calculated formation energy: 455 meV per atom
- Calculated volume: 91.8 Å³/cell
- Crystal system: orthorhombic
- E: -31.72 eV per cell

***

7.
A plane-wave DFT calculation with PBE was carried out for a relaxed Fe2Hg3 crystal.

```
data_Fe2Hg3
_chemical_formula_sum 'Fe2 Hg3'
_cell_length_a 12.3554
_cell_length_b 12.3554
_cell_length_c 12.3554
_cell_angle_alpha 14.12
_cell_angle_beta 14.12
_cell_angle_gamma 14.12
_space_group_name_H-M_alt 'P 1'
_space_group_IT_number 1
_space_group_name_Hall 'P 1'
loop_
_atom_site_label
_atom_site_fract_x
_atom_site_fract_y
_atom_site_fract_z
Fe1 0.1887 0.1887 0.1887
Fe2 0.8113 0.8113 0.8113
Hg1 0.0000 0.0000 0.0000
Hg2 0.4157 0.4157 0.4157
Hg3 0.5843 0.5843 0.5843
```

## Properties
- Offset from the most stable computed form: 0.030 eV per atom
- SG: R-3m, No. 166
- Calculated formation energy: 319 meV per atom
- Calculated volume: 97.7 Å³/cell
- Crystal system: trigonal
- E: -16.24 eV per cell

***

8.
A plane-wave DFT calculation with PBE was carried out for a relaxed Fe2Hg crystal.

```
data_Fe2Hg
_chemical_formula_sum 'Fe4 Hg2'
_cell_length_a 6.9380
_cell_length_b 6.9380
_cell_length_c 4.4076
_cell_angle_alpha 90.00
_cell_angle_beta 90.00
_cell_angle_gamma 154.71
_space_group_name_H-M_alt 'P 1'
_space_group_IT_number 1
_space_group_name_Hall 'P 1'
loop_
_atom_site_label
_atom_site_fract_x
_atom_site_fract_y
_atom_site_fract_z
Fe1 0.1240 0.8760 0.7500
Fe2 0.2430 0.7570 0.2500
Fe3 0.7570 0.2430 0.7500
Fe4 0.8760 0.1240 0.2500
Hg1 0.4290 0.5710 0.7500
Hg2 0.5710 0.4290 0.2500
```

## Properties
- SG: Cmcm, No. 63
- Calculated formation energy: 331 meV per atom
- Calculated volume: 90.6 Å³/cell
- Crystal system: orthorhombic
- E: -32.47 eV per cell